Entry from Alexandria: an optimized crystal structure of Ac2Sn2Hg3 (GGA-PBE).

Unit cell a=11.956 b=4.910 c=7.406 alpha=90.00 beta=101.10 gamma=90.00
Fractional coordinates of all 14 atoms:
1 Ac 0.142 0.000 0.238
2 Ac 0.358 0.500 0.762
3 Ac 0.642 0.500 0.238
4 Ac 0.858 0.000 0.762
5 Sn 0.091 0.500 0.895
6 Sn 0.409 0.000 0.105
7 Sn 0.591 0.000 0.895
8 Sn 0.909 0.500 0.105
9 Hg 0.000 0.500 0.500
10 Hg 0.163 0.000 0.692
11 Hg 0.337 0.500 0.308
12 Hg 0.500 0.000 0.500
13 Hg 0.663 0.500 0.692
14 Hg 0.837 0.000 0.308

Properties
Space group: C2/m (12)

***

Entry from Alexandria: an optimized crystal structure of MnHg2Pd4 (GGA-PBE).

Unit cell a=5.713 b=5.713 c=7.786 alpha=90.00 beta=90.00 gamma=90.00
Fractional coordinates of all 14 atoms:
1 Mn 0.000 0.000 0.000
2 Mn 0.500 0.500 0.500
3 Hg 0.000 0.500 0.000
4 Hg 0.000 0.500 0.500
5 Hg 0.500 0.000 0.000
6 Hg 0.500 0.000 0.500
7 Pd 0.250 0.250 0.250
8 Pd 0.250 0.250 0.750
9 Pd 0.250 0.750 0.250
10 Pd 0.250 0.750 0.750
11 Pd 0.750 0.250 0.250
12 Pd 0.750 0.250 0.750
13 Pd 0.750 0.750 0.250
14 Pd 0.750 0.750 0.750

Properties
Space group: I4/mmm (139)

***

Entry from Alexandria: an optimized crystal structure of RbAg4Au (GGA-PBE).

Unit cell a=5.735 b=5.735 c=5.735 alpha=60.00 beta=60.00 gamma=60.00
Fractional coordinates of all 6 atoms:
1 Rb 0.000 0.000 0.000
2 Ag 0.376 0.376 0.376
3 Ag 0.376 0.376 0.873
4 Ag 0.376 0.873 0.376
5 Ag 0.873 0.376 0.376
6 Au 0.750 0.750 0.750

Properties
Space group: F-43m (216)

***

Entry from Alexandria: an optimized crystal structure of Tb8AgAu2 (GGA-PBE).

Unit cell a=9.328 b=9.328 c=6.946 alpha=104.72 beta=104.72 gamma=31.90
Fractional coordinates of all 11 atoms:
1 Tb 0.030 0.030 0.272
2 Tb 0.200 0.200 0.825
3 Tb 0.333 0.333 0.526
4 Tb 0.409 0.409 0.040
5 Tb 0.591 0.591 0.960
6 Tb 0.667 0.667 0.474
7 Tb 0.800 0.800 0.175
8 Tb 0.970 0.970 0.728
9 Ag 0.500 0.500 0.500
10 Au 0.186 0.186 0.230
11 Au 0.814 0.814 0.770

Properties
Space group: C2/m (12)

***

Number 1: energy of formation from the pure elements -464 meV/atom, calculated total energy -0.10698 hartree per atom. Number 2: energy of formation from the pure elements -66 meV/atom, calculated total energy -0.16278 hartree per atom. Number 3: energy of formation from the pure elements 82 meV/atom, calculated total energy -0.09286 hartree per atom. Number 4: energy of formation from the pure elements -352 meV/atom, calculated total energy -0.16811 hartree per atom.